Record 1
Material: AlNiCl2
Method: DFT, PBE-GGA
State: relaxed

Relative energy among the computed polymorphs   0.664 eV/atom
ΔE_f (raw)   0.4 eV per formula unit

Cell and atoms, written as CIF:
```
data_AlNiCl2
_chemical_formula_sum 'Al1 Ni1 Cl2'
_symmetry_space_group_name_H-M 'P 1'
_symmetry_Int_Tables_number 1
_cell_length_a 6.484
_cell_length_b 6.484
_cell_length_c 6.484
_cell_angle_alpha 147.39
_cell_angle_beta 147.39
_cell_angle_gamma 46.79
loop_
_symmetry_equiv_pos_as_xyz
'x,y,z'
loop_
_atom_site_label
_atom_site_type_symbol
_atom_site_fract_x
_atom_site_fract_y
_atom_site_fract_z
Al1 Al 0.000 0.000 0.000
Ni1 Ni 0.750 0.250 0.500
Cl1 Cl 0.250 0.750 0.500
Cl2 Cl 0.500 0.500 0.000
```

=====

Record 2
Material: TmThMgRu
Method: DFT, PBE-GGA
State: relaxed

Calculated formation energy   -0.155 eV/atom

Cell and atoms, written as CIF:
```
data_TmThMgRu
_chemical_formula_sum 'Tm1 Th1 Mg1 Ru1'
_symmetry_space_group_name_H-M 'P 1'
_symmetry_Int_Tables_number 1
_cell_length_a 5.090
_cell_length_b 5.090
_cell_length_c 5.090
_cell_angle_alpha 60.00
_cell_angle_beta 60.00
_cell_angle_gamma 60.00
loop_
_symmetry_equiv_pos_as_xyz
'x,y,z'
loop_
_atom_site_label
_atom_site_type_symbol
_atom_site_fract_x
_atom_site_fract_y
_atom_site_fract_z
Tm1 Tm 0.000 0.000 0.000
Th1 Th 0.500 0.500 0.500
Mg1 Mg 0.250 0.250 0.250
Ru1 Ru 0.750 0.750 0.750
```

=====

Record 3
Material: KFe2Au
Method: DFT, PBE-GGA
State: relaxed

Calculated formation energy   0.580 eV/atom

Cell and atoms, written as CIF:
```
data_KFe2Au
_chemical_formula_sum 'K1 Fe2 Au1'
_symmetry_space_group_name_H-M 'P 1'
_symmetry_Int_Tables_number 1
_cell_length_a 2.860
_cell_length_b 4.786
_cell_length_c 6.545
_cell_angle_alpha 90.00
_cell_angle_beta 96.62
_cell_angle_gamma 90.00
loop_
_symmetry_equiv_pos_as_xyz
'x,y,z'
loop_
_atom_site_label
_atom_site_type_symbol
_atom_site_fract_x
_atom_site_fract_y
_atom_site_fract_z
K1 K 0.000 0.000 0.000
Fe1 Fe 0.274 0.500 0.637
Fe2 Fe 0.726 0.500 0.363
Au1 Au 0.500 0.000 0.500
```

=====

Record 4
Material: HoMgGaSn
Method: DFT, PBE-GGA
State: relaxed

Relative energy among the computed polymorphs   0.000 eV/atom
Calculated formation energy   -0.470 eV/atom

Cell and atoms, written as CIF:
```
data_HoMgGaSn
_chemical_formula_sum 'Ho1 Mg1 Ga1 Sn1'
_symmetry_space_group_name_H-M 'P 1'
_symmetry_Int_Tables_number 1
_cell_length_a 4.318
_cell_length_b 4.513
_cell_length_c 4.605
_cell_angle_alpha 90.00
_cell_angle_beta 90.00
_cell_angle_gamma 90.00
loop_
_symmetry_equiv_pos_as_xyz
'x,y,z'
loop_
_atom_site_label
_atom_site_type_symbol
_atom_site_fract_x
_atom_site_fract_y
_atom_site_fract_z
Ho1 Ho 0.000 0.000 0.000
Mg1 Mg 0.000 0.500 0.500
Ga1 Ga 0.500 0.500 0.000
Sn1 Sn 0.500 0.000 0.500
```

=====

Record 5
Material: Pm6Ga2Si
Method: DFT, PBE-GGA
State: relaxed

Relative energy among the computed polymorphs   0.000 eV/atom
ΔE_f (raw)   -3.9 eV per formula unit

Cell and atoms, written as CIF:
```
data_Pm6Ga2Si
_chemical_formula_sum 'Pm6 Ga2 Si1'
_symmetry_space_group_name_H-M 'P 1'
_symmetry_Int_Tables_number 1
_cell_length_a 8.102
_cell_length_b 8.102
_cell_length_c 4.373
_cell_angle_alpha 90.00
_cell_angle_beta 90.00
_cell_angle_gamma 120.00
loop_
_symmetry_equiv_pos_as_xyz
'x,y,z'
loop_
_atom_site_label
_atom_site_type_symbol
_atom_site_fract_x
_atom_site_fract_y
_atom_site_fract_z
Pm1 Pm 0.000 0.265 0.000
Pm2 Pm 0.000 0.600 0.500
Pm3 Pm 0.265 0.000 0.000
Pm4 Pm 0.400 0.400 0.500
Pm5 Pm 0.600 0.000 0.500
Pm6 Pm 0.735 0.735 0.000
Ga1 Ga 0.333 0.667 0.000
Ga2 Ga 0.667 0.333 0.000
Si1 Si 0.000 0.000 0.500
```

=====

Record 6
Material: Sb2PbS2
Method: DFT, PBE-GGA
State: relaxed

Relative energy among the computed polymorphs   0.135 eV/atom
ΔE_f (raw)   0.6 eV per formula unit

Cell and atoms, written as CIF:
```
data_Sb2PbS2
_chemical_formula_sum 'Sb2 Pb1 S2'
_symmetry_space_group_name_H-M 'P 1'
_symmetry_Int_Tables_number 1
_cell_length_a 9.309
_cell_length_b 9.309
_cell_length_c 9.309
_cell_angle_alpha 154.38
_cell_angle_beta 154.38
_cell_angle_gamma 36.55
loop_
_symmetry_equiv_pos_as_xyz
'x,y,z'
loop_
_atom_site_label
_atom_site_type_symbol
_atom_site_fract_x
_atom_site_fract_y
_atom_site_fract_z
Sb1 Sb 0.250 0.750 0.500
Sb2 Sb 0.750 0.250 0.500
Pb1 Pb 0.000 0.000 0.000
S1 S 0.439 0.439 0.000
S2 S 0.561 0.561 0.000
```

=====

Number 1: V 19.7 Å³/atom, total DFT energy (no corrections) -3.2117 eV/atom. Number 2: V 23.3 Å³/atom, total DFT energy (no corrections) -5.8453 eV/atom. Number 3: V 22.2 Å³/atom, total DFT energy (no corrections) -4.7454 eV/atom. Number 4: V 22.4 Å³/atom, total DFT energy (no corrections) -3.7707 eV/atom. Number 5: V 27.6 Å³/atom, total DFT energy (no corrections) -4.8750 eV/atom. Number 6: V 30.1 Å³/atom, total DFT energy (no corrections) -3.9274 eV/atom.